LiCr2Ru, relaxed, DFT GGA-PBE; energy of formation from the pure elements = 278.9 meV/atom; final energy = -7.33 eV/atom; density = 7.284 g/cm3; size of the total moment = 0.0 Bohr magnetons per cell; volume = 12.1 A^3/atom; SG = No. 71
1.0
-0.2475 -3.4330 -3.4756
-0.8243 -4.7245 -0.9624
-3.6809 -0.7618 -1.2362
Cr Li Ru
2 1 1
direct
0.9908 0.9908 0.0081
0.5092 0.5092 0.4919
0.7500 0.7500 0.7500
0.2500 0.2500 0.2500